! GGA-PBE TlIn2Rh, relaxed; values from VASP
&SYSTEM
  ibrav = 0, nat = 4, ntyp = 3
/
ATOMIC_SPECIES
Tl 204.38 Tl.upf
In 114.82 In.upf
Rh 102.91 Rh.upf
ATOMIC_POSITIONS crystal
Tl 0.000 0.000 0.000
In 0.250 0.750 0.500
In 0.750 0.250 0.500
Rh 0.500 0.500 0.000
CELL_PARAMETERS angstrom
-2.251 2.251 4.236
2.251 -2.251 4.236
2.251 2.251 -4.236
! M_tot ... 0.0 μB/f.u.
! Polymorph energy (0 for the lowest one) ... 1.06 eV/f.u.
! Energy of formation ... 0.1282 eV per atom
! E_tot ... -14.68 eV per formula unit